Compound: LaCeErMg
Source: Alexandria
Functional: PBE
Structure: optimized geometry

Structure (CIF):
```
data_LaCeErMg
_space_group_name_H-M_alt 'F -4 3 m'
_space_group_IT_number 216
_space_group_name_Hall 'F -4 2 3'
_cell_length_a 7.909
_cell_length_b 7.909
_cell_length_c 7.909
_cell_angle_alpha 90.00
_cell_angle_beta 90.00
_cell_angle_gamma 90.00
loop_
_atom_site_label
_atom_site_type_symbol
_atom_site_fract_x
_atom_site_fract_y
_atom_site_fract_z
La1 La 0.000 0.000 0.000
Ce1 Ce 0.000 0.000 0.500
Er1 Er 0.250 0.250 0.750
Mg1 Mg 0.250 0.250 0.250
```

Properties
* E_tot: -0.3060 Ry per atom
* spin magnetization: 4.68 μB/cell
* calculated volume: 123.7 Å³/f.u.
* D(E_F): 9.40 states/eV/f.u.



Compound: LaSc2Cd
Source: Alexandria
Functional: PBE
Structure: optimized geometry

Structure (CIF):
```
data_LaSc2Cd
_space_group_name_H-M_alt 'C m m m'
_space_group_IT_number 65
_space_group_name_Hall '-C 2 2'
_cell_length_a 7.472
_cell_length_b 7.491
_cell_length_c 3.621
_cell_angle_alpha 90.00
_cell_angle_beta 90.00
_cell_angle_gamma 90.00
loop_
_atom_site_label
_atom_site_type_symbol
_atom_site_fract_x
_atom_site_fract_y
_atom_site_fract_z
La1 La 0.000 0.000 0.000
Sc1 Sc 0.250 0.250 0.500
Cd1 Cd 0.000 0.500 0.000
```

Properties
* E_tot: -0.3395 Ry per atom
* spin magnetization: 0.76 μB/cell
* calculated volume: 101.3 Å³/f.u.
* D(E_F): 6.71 states/eV/f.u.



Compound: Sb2PtCl
Source: Alexandria
Functional: PBE
Structure: optimized geometry

Structure (CIF):
```
data_Sb2PtCl
_space_group_name_H-M_alt 'I m m m'
_space_group_IT_number 71
_space_group_name_Hall '-I 2 2'
_cell_length_a 3.718
_cell_length_b 6.210
_cell_length_c 8.485
_cell_angle_alpha 90.00
_cell_angle_beta 90.00
_cell_angle_gamma 90.00
loop_
_atom_site_label
_atom_site_type_symbol
_atom_site_fract_x
_atom_site_fract_y
_atom_site_fract_z
Sb1 Sb 0.000 0.000 0.224
Pt1 Pt 0.000 0.500 0.500
Cl1 Cl 0.000 0.500 0.000
```

Properties
* raw formation energy: -0.1 eV/f.u.
* E_tot: -0.2974 Ry per atom
* spin magnetization: 0.00 μB/cell
* calculated volume: 97.9 Å³/f.u.
* D(E_F): 2.17 states/eV/f.u.



Compound: Cs3K7Na2
Source: Alexandria
Functional: PBE
Structure: optimized geometry

Structure (CIF):
```
data_Cs3K7Na2
_space_group_name_H-M_alt 'P 1 2/m 1'
_space_group_IT_number 10
_space_group_name_Hall '-P 2y'
_cell_length_a 7.483
_cell_length_b 5.108
_cell_length_c 24.273
_cell_angle_alpha 90.00
_cell_angle_beta 98.58
_cell_angle_gamma 90.00
loop_
_atom_site_label
_atom_site_type_symbol
_atom_site_fract_x
_atom_site_fract_y
_atom_site_fract_z
Cs1 Cs 0.000 0.000 0.000
Cs2 Cs 0.328 0.500 0.652
K1 K 0.079 0.500 0.166
K2 K 0.227 0.000 0.455
K3 K 0.420 0.000 0.833
K4 K 0.500 0.500 0.000
Na1 Na 0.142 0.000 0.292
```

Properties
* E_tot: -0.0767 Ry per atom
* spin magnetization: 0.00 μB/cell
* calculated volume: 917.3 Å³/f.u.
* D(E_F): 9.06 states/eV/f.u.